A plane-wave DFT calculation with PBE-GGA was carried out for an optimized crystal structure of CeDy3Os8.

Properties
Its energy is -9.393 eV/atom.

CIF file:
```
data_CeDy3Os8
_symmetry_space_group_name_H-M 'P 1'
_symmetry_Int_Tables_number 1
_symmetry_space_group_name_Hall 'P 1'
_cell_length_a 5.366
_cell_length_b 5.366
_cell_length_c 9.315
_cell_angle_alpha 106.66
_cell_angle_beta 106.66
_cell_angle_gamma 60.03
loop_
_atom_site_label
_atom_site_fract_x
_atom_site_fract_y
_atom_site_fract_z
_atom_site_occupancy
Ce1 0.000 0.000 0.000 1
Dy1 0.125 0.125 0.376 1
Dy2 0.501 0.501 0.502 1
Dy3 0.625 0.625 0.876 1
Os1 0.063 0.063 0.687 1
Os2 0.063 0.560 0.687 1
Os3 0.064 0.563 0.191 1
Os4 0.313 0.313 0.939 1
Os5 0.560 0.063 0.687 1
Os6 0.563 0.064 0.191 1
Os7 0.563 0.563 0.191 1
Os8 0.813 0.813 0.439 1
```